No. 1
{"formula": "DyLuThMg", "functional": "PBE", "state": "optimized geometry", "m_tot_mub_per_fu": 0.0, "energy_ev_per_atom": -4.45, "n_ef_per_ev_atom": 1.748, "sg": "F-43m", "lattice": [[0.0000, 3.8810, 3.8810], [3.8810, 0.0000, 3.8810], [3.8810, 3.8810, 0.0000]], "species": ["Dy", "Lu", "Th", "Mg"], "fractional_positions": [[0.0000, 0.0000, 0.0000], [0.7500, 0.7500, 0.7500], [0.5000, 0.5000, 0.5000], [0.2500, 0.2500, 0.2500]]}

---

No. 2
{"formula": "Al2GaNi", "functional": "PBE", "state": "optimized geometry", "m_tot_mub_per_fu": 0.0, "energy_ev_per_atom": -4.25, "n_ef_per_ev_atom": 0.353, "sg": "Pmma", "lattice": [[4.8576, 0.0000, 0.0000], [0.0000, 3.8588, 0.0000], [0.0000, 0.0000, 6.5142]], "species": ["Al", "Al", "Al", "Al", "Ga", "Ga", "Ni", "Ni"], "fractional_positions": [[0.2500, 0.0000, 0.1086], [0.2500, 0.5000, 0.7812], [0.7500, 0.0000, 0.8914], [0.7500, 0.5000, 0.2188], [0.0000, 0.0000, 0.5000], [0.5000, 0.0000, 0.5000], [0.2500, 0.5000, 0.3573], [0.7500, 0.5000, 0.6427]]}

---

No. 3
{"formula": "Ba2ZnCd2", "functional": "PBE", "state": "optimized geometry", "e_above_lowest_polymorph_mev_per_atom": 0, "m_tot_mub_per_fu": 0.0, "n_ef_per_ev_atom": 0.924, "sg": "C2/m", "lattice": [[6.0570, -2.5511, 0.0000], [6.0570, 2.5511, 0.0000], [-6.0048, 0.0000, 11.1218]], "species": ["Ba", "Ba", "Ba", "Ba", "Zn", "Zn", "Cd", "Cd", "Cd", "Cd"], "fractional_positions": [[0.0202, 0.0202, 0.3435], [0.1995, 0.1995, 0.1172], [0.8005, 0.8005, 0.8828], [0.9798, 0.9798, 0.6565], [0.2740, 0.2740, 0.6479], [0.7260, 0.7260, 0.3521], [0.3488, 0.3488, 0.4387], [0.4977, 0.4977, 0.1204], [0.5023, 0.5023, 0.8796], [0.6512, 0.6512, 0.5613]]}

---

No. 4
{"formula": "NiTeOs2", "functional": "PBE", "state": "optimized geometry", "m_tot_mub_per_fu": 0.2, "e_form_raw_ev_per_atom": 1.06, "n_ef_per_ev_atom": 1.560, "sg": "Cmmm", "lattice": [[1.4320, -2.4134, 0.0000], [1.4320, 2.4134, 0.0000], [0.0000, 0.0000, 9.3988]], "species": ["Ni", "Te", "Os", "Os"], "fractional_positions": [[0.0000, 0.0000, 0.0000], [0.0000, 0.0000, 0.5000], [0.5000, 0.5000, 0.2198], [0.5000, 0.5000, 0.7802]]}

---

No. 5
{"formula": "AsPC3", "functional": "PBE", "state": "optimized geometry", "e_above_lowest_polymorph_mev_per_atom": 0, "m_tot_mub_per_fu": 0.0, "n_ef_per_ev_atom": 0.607, "sg": "Pm-3m", "lattice": [[3.6972, 0.0000, 0.0000], [0.0000, 3.6972, 0.0000], [0.0000, 0.0000, 3.6972]], "species": ["As", "P", "C", "C", "C"], "fractional_positions": [[0.0000, 0.0000, 0.0000], [0.5000, 0.5000, 0.5000], [0.0000, 0.5000, 0.5000], [0.5000, 0.0000, 0.5000], [0.5000, 0.5000, 0.0000]]}

---

No. 6
{"formula": "SmEr2F11", "functional": "PBE", "state": "optimized geometry", "m_tot_mub_per_fu": 2.1, "e_form_raw_ev_per_atom": -3.46, "n_ef_per_ev_atom": 0.880, "sg": "Ibam", "lattice": [[-4.1603, 5.1109, 5.6567], [4.1603, -5.1109, 5.6567], [4.1603, 5.1109, -5.6567]], "species": ["Sm", "Sm", "Er", "Er", "Er", "Er", "F", "F", "F", "F", "F", "F", "F", "F", "F", "F", "F", "F", "F", "F", "F", "F", "F", "F", "F", "F", "F", "F"], "fractional_positions": [[0.2500, 0.2500, 0.0000], [0.7500, 0.7500, 0.0000], [0.1887, 0.6568, 0.8456], [0.3113, 0.1568, 0.4681], [0.6887, 0.8432, 0.5319], [0.8113, 0.3432, 0.1544], [0.0000, 0.5000, 0.5000], [0.0329, 0.9641, 0.2780], [0.0541, 0.3428, 0.1337], [0.1860, 0.4641, 0.9312], [0.1968, 0.3898, 0.5866], [0.2092, 0.9204, 0.8663], [0.2908, 0.1572, 0.7113], [0.3032, 0.8898, 0.1930], [0.3140, 0.2451, 0.2780], [0.4459, 0.5796, 0.2887], [0.4671, 0.7451, 0.9312], [0.5000, 0.0000, 0.5000], [0.5329, 0.2549, 0.0688], [0.5541, 0.4204, 0.7113], [0.6860, 0.7549, 0.7220], [0.6968, 0.1102, 0.8070], [0.7092, 0.8428, 0.2887], [0.7908, 0.0796, 0.1337], [0.8032, 0.6102, 0.4134], [0.8140, 0.5359, 0.0688], [0.9459, 0.6572, 0.8663], [0.9671, 0.0359, 0.7220]]}

---

No. 7
{"formula": "Cs3Ag2HgF8", "functional": "PBE", "state": "optimized geometry", "m_tot_mub_per_fu": 0.8, "e_form_raw_ev_per_atom": -1.83, "n_ef_per_ev_atom": 0.795, "sg": "P-3m1", "lattice": [[6.4245, 0.0000, 0.0000], [-3.2123, 5.5638, 0.0000], [0.0000, 0.0000, 8.8207]], "species": ["Cs", "Cs", "Cs", "Ag", "Ag", "Hg", "F", "F", "F", "F", "F", "F", "F", "F"], "fractional_positions": [[0.0000, 0.0000, 0.0000], [0.3333, 0.6667, 0.6363], [0.6667, 0.3333, 0.3637], [0.3333, 0.6667, 0.1944], [0.6667, 0.3333, 0.8056], [0.0000, 0.0000, 0.5000], [0.1645, 0.3291, 0.3417], [0.1645, 0.8355, 0.3417], [0.3291, 0.1645, 0.6583], [0.3333, 0.6667, 0.9539], [0.6667, 0.3333, 0.0461], [0.6709, 0.8355, 0.3417], [0.8355, 0.1645, 0.6583], [0.8355, 0.6709, 0.6583]]}

---

No. 8
{"formula": "LaPmPuHg", "functional": "PBE", "state": "optimized geometry", "m_tot_mub_per_fu": 7.5, "energy_ev_per_atom": -6.01, "n_ef_per_ev_atom": 2.998, "sg": "F-43m", "lattice": [[0.0000, 3.8841, 3.8841], [3.8841, 0.0000, 3.8841], [3.8841, 3.8841, 0.0000]], "species": ["La", "Pm", "Pu", "Hg"], "fractional_positions": [[0.0000, 0.0000, 0.0000], [0.7500, 0.7500, 0.7500], [0.5000, 0.5000, 0.5000], [0.2500, 0.2500, 0.2500]]}

---

No. 9
{"formula": "MgZnP2", "functional": "PBE", "state": "optimized geometry", "e_above_lowest_polymorph_mev_per_atom": 132, "m_tot_mub_per_fu": 0.0, "n_ef_per_ev_atom": 0.341, "sg": "C2/m", "lattice": [[3.5388, -1.7610, 0.0000], [3.5388, 1.7610, 0.0000], [-1.5870, 0.0000, 5.5726]], "species": ["Mg", "Zn", "P", "P"], "fractional_positions": [[0.0000, 0.0000, 0.0000], [0.5000, 0.5000, 0.5000], [0.2525, 0.2525, 0.7258], [0.7475, 0.7475, 0.2742]]}

---

No. 10
{"formula": "ScCoBr", "functional": "PBE", "state": "optimized geometry", "m_tot_mub_per_fu": 0.9, "e_form_raw_ev_per_atom": -0.16, "n_ef_per_ev_atom": 1.364, "sg": "I4mm", "lattice": [[-1.6262, 1.6262, 5.3511], [1.6262, -1.6262, 5.3511], [1.6262, 1.6262, -5.3511]], "species": ["Sc", "Co", "Br"], "fractional_positions": [[0.0000, 0.0000, 0.0000], [0.3702, 0.3702, 0.0000], [0.6807, 0.6807, 0.0000]]}

---

No. 11
{"formula": "LaUCo3", "functional": "PBE", "state": "optimized geometry", "m_tot_mub_per_fu": 0.0, "energy_ev_per_atom": -7.67, "n_ef_per_ev_atom": 1.060, "sg": "Cm", "lattice": [[5.3770, -3.0269, 0.0000], [5.3770, 3.0269, 0.0000], [-5.0460, 0.0000, 5.5985]], "species": ["La", "La", "U", "U", "Co", "Co", "Co", "Co", "Co", "Co"], "fractional_positions": [[0.0000, 0.0000, 0.0000], [0.0317, 0.0317, 0.5336], [0.6291, 0.6291, 0.4008], [0.6290, 0.6290, 0.9160], [0.0771, 0.4955, 0.5024], [0.0830, 0.4987, 0.0488], [0.3984, 0.3984, 0.8707], [0.4258, 0.4258, 0.4125], [0.4955, 0.0771, 0.5024], [0.4987, 0.0830, 0.0488]]}

---

No. 12
{"formula": "NdTh2Os9", "functional": "PBE", "state": "optimized geometry", "m_tot_mub_per_fu": 0.0, "energy_ev_per_atom": -10.12, "n_ef_per_ev_atom": 1.007, "sg": "C2/m", "lattice": [[4.5982, -2.7558, 0.0000], [4.5982, 2.7558, 0.0000], [-3.1362, 0.0000, 8.8029]], "species": ["Nd", "Th", "Th", "Os", "Os", "Os", "Os", "Os", "Os", "Os", "Os", "Os"], "fractional_positions": [[0.0000, 0.0000, 0.0000], [0.1375, 0.1375, 0.4188], [0.8625, 0.8625, 0.5812], [0.0810, 0.5734, 0.2332], [0.3630, 0.3630, 0.0049], [0.4052, 0.4052, 0.7400], [0.4266, 0.9190, 0.7668], [0.5000, 0.5000, 0.5000], [0.5734, 0.0810, 0.2332], [0.5948, 0.5948, 0.2600], [0.6370, 0.6370, 0.9951], [0.9190, 0.4266, 0.7668]]}

---

No. 13
{"formula": "NaGa2CuCl8", "functional": "PBE", "state": "optimized geometry", "m_tot_mub_per_fu": 0.1, "e_form_raw_ev_per_atom": -1.07, "sg": "P-3", "lattice": [[6.4917, 0.0000, 0.0000], [-3.2458, 5.6219, 0.0000], [0.0000, 0.0000, 8.8047]], "species": ["Na", "Ga", "Ga", "Cu", "Cl", "Cl", "Cl", "Cl", "Cl", "Cl", "Cl", "Cl"], "fractional_positions": [[0.0000, 0.0000, 0.0000], [0.3333, 0.6667, 0.7523], [0.6667, 0.3333, 0.2477], [0.0000, 0.0000, 0.5000], [0.0285, 0.3218, 0.6776], [0.2932, 0.9715, 0.6776], [0.3218, 0.2932, 0.3224], [0.3333, 0.6667, 0.0014], [0.6667, 0.3333, 0.9986], [0.6782, 0.7068, 0.6776], [0.7068, 0.0285, 0.3224], [0.9715, 0.6782, 0.3224]]}

---

No. 14
{"formula": "NbNi3Mo", "functional": "PBE", "state": "optimized geometry", "e_above_lowest_polymorph_mev_per_atom": 0, "m_tot_mub_per_fu": 0.0, "n_ef_per_ev_atom": 1.262, "sg": "Pm-3m", "lattice": [[4.3861, 0.0000, 0.0000], [0.0000, 4.3861, 0.0000], [0.0000, 0.0000, 4.3861]], "species": ["Nb", "Ni", "Ni", "Ni", "Mo"], "fractional_positions": [[0.0000, 0.0000, 0.0000], [0.0000, 0.5000, 0.5000], [0.5000, 0.0000, 0.5000], [0.5000, 0.5000, 0.0000], [0.5000, 0.5000, 0.5000]]}

---

No. 15
{"formula": "ZnFeTe2", "functional": "PBE", "state": "optimized geometry", "m_tot_mub_per_fu": 2.0, "e_form_raw_ev_per_atom": 0.07, "n_ef_per_ev_atom": 0.367, "sg": "Cm", "lattice": [[4.4196, -1.7567, 0.0000], [4.4196, 1.7567, 0.0000], [-1.3602, 0.0000, 6.5993]], "species": ["Zn", "Fe", "Te", "Te"], "fractional_positions": [[0.0000, 0.0000, 0.0000], [0.2700, 0.2700, 0.9615], [0.6056, 0.6056, 0.7224], [0.7970, 0.7970, 0.2477]]}

---

No. 16
{"formula": "MgTlOs2", "functional": "PBE", "state": "optimized geometry", "m_tot_mub_per_fu": 0.0, "energy_ev_per_atom": -5.36, "n_ef_per_ev_atom": 1.119, "sg": "I-42d", "lattice": [[-3.7771, 3.7771, 2.6196], [3.7771, -3.7771, 2.6196], [3.7771, 3.7771, -2.6196]], "species": ["Mg", "Mg", "Tl", "Tl", "Os", "Os", "Os", "Os"], "fractional_positions": [[0.0000, 0.0000, 0.0000], [0.7500, 0.2500, 0.5000], [0.2500, 0.7500, 0.5000], [0.5000, 0.5000, 0.0000], [0.1250, 0.1250, 0.5000], [0.3750, 0.8750, 0.0000], [0.6250, 0.6250, 0.5000], [0.8750, 0.3750, 0.0000]]}

---

No. 17
{"formula": "Na2NiPt2Se6", "functional": "PBE", "state": "optimized geometry", "m_tot_mub_per_fu": 2.0, "e_form_raw_ev_per_atom": -0.51, "n_ef_per_ev_atom": 0.245, "sg": "C2/m", "lattice": [[3.2538, -5.6552, 0.0000], [3.2538, 5.6552, 0.0000], [-2.3633, 0.0000, 6.9701]], "species": ["Na", "Na", "Ni", "Pt", "Pt", "Se", "Se", "Se", "Se", "Se", "Se"], "fractional_positions": [[0.1676, 0.8324, 0.0000], [0.8324, 0.1676, 0.0000], [0.0000, 0.0000, 0.5000], [0.3325, 0.6675, 0.5000], [0.6675, 0.3325, 0.5000], [0.0675, 0.4034, 0.6889], [0.2619, 0.2619, 0.3151], [0.4034, 0.0675, 0.6889], [0.5966, 0.9325, 0.3111], [0.7381, 0.7381, 0.6849], [0.9325, 0.5966, 0.3111]]}

---

No. 18
{"formula": "Mg2ScTa", "functional": "PBE", "state": "optimized geometry", "e_above_lowest_polymorph_mev_per_atom": 197, "m_tot_mub_per_fu": 0.0, "n_ef_per_ev_atom": 0.941, "sg": "Immm", "lattice": [[-1.5634, 2.4946, 5.3577], [1.5634, -2.4946, 5.3577], [1.5634, 2.4946, -5.3577]], "species": ["Mg", "Mg", "Sc", "Ta"], "fractional_positions": [[0.2390, 0.2390, 0.0000], [0.7610, 0.7610, 0.0000], [0.5000, 0.0000, 0.5000], [0.0000, 0.5000, 0.5000]]}

---

No. 19
{"formula": "ErGeBi", "functional": "PBE", "state": "optimized geometry", "e_above_lowest_polymorph_mev_per_atom": 0, "m_tot_mub_per_fu": 0.0, "n_ef_per_ev_atom": 0.431, "sg": "Cmcm", "lattice": [[2.2411, -8.0865, 0.0000], [2.2411, 8.0865, 0.0000], [0.0000, 0.0000, 4.2020]], "species": ["Er", "Er", "Ge", "Ge", "Bi", "Bi"], "fractional_positions": [[0.0922, 0.9078, 0.7500], [0.9078, 0.0922, 0.2500], [0.4475, 0.5525, 0.7500], [0.5525, 0.4475, 0.2500], [0.2525, 0.7475, 0.2500], [0.7475, 0.2525, 0.7500]]}

---

No. 20
{"formula": "ZnInPPt", "functional": "PBE", "state": "optimized geometry", "e_above_lowest_polymorph_mev_per_atom": 41, "m_tot_mub_per_fu": 0.0, "n_ef_per_ev_atom": 0.388, "sg": "P1", "lattice": [[3.6039, 0.0000, 0.0000], [1.7919, 3.7890, 0.0000], [0.0299, 1.3095, 5.8549]], "species": ["Zn", "In", "P", "Pt"], "fractional_positions": [[0.0000, 0.0000, 0.0000], [0.6671, 0.6671, 0.7126], [0.4292, 0.1327, 0.3123], [0.7228, 0.5493, 0.2252]]}